An optimized crystal structure of Co3ReO, computed with GGA+U.

Cell: 4.597 4.597 4.597 Å, 90.00 90.00 90.00°
Sites, in units of the cell vectors:
Co 0.000 0.000 0.500
Co 0.000 0.500 0.000
Co 0.500 0.000 0.000
Re 0.000 0.000 0.000
O 0.500 0.500 0.500

Summary:
Size of the total moment in μB per cell: 5.81
Electronic total energy in eV per cell: -22.272
Energy above the lowest structure with this stoichiometry in eV/atom: 1.422
D(E_F) in states/eV per cell: 2.40
Space-group type: Pm-3m, No. 221